(1)
The following is a PBE calculation of a geometry-optimized KGa2Os structure, from Alexandria.

Unit cell a=6.678 b=6.678 c=6.678 alpha=90.00 beta=90.00 gamma=90.00
Fractional coordinates of all 16 atoms:
K 0.000 0.000 0.000
K 0.000 0.500 0.500
K 0.500 0.000 0.500
K 0.500 0.500 0.000
Ga 0.250 0.250 0.250
Ga 0.250 0.250 0.750
Ga 0.250 0.750 0.250
Ga 0.250 0.750 0.750
Ga 0.750 0.250 0.250
Ga 0.750 0.250 0.750
Ga 0.750 0.750 0.250
Ga 0.750 0.750 0.750
Os 0.000 0.000 0.500
Os 0.000 0.500 0.000
Os 0.500 0.000 0.000
Os 0.500 0.500 0.500

Values from the calculation:
ΔE to the lowest computed polymorph (meV/atom): 348
Symmetry: Fm-3m (225)
Calculated formation energy (eV per formula unit): 2.7
Fermi-level density of states (states/eV per cell): 12.72
Size of the total moment (Bohr magnetons per cell): 0.000

***

(2)
The following is a PBE calculation of a geometry-optimized KGaP2Os structure, from Alexandria.

Unit cell a=5.293 b=5.293 c=5.210 alpha=90.00 beta=90.00 gamma=90.00
Fractional coordinates of all 5 atoms:
K 0.000 0.000 0.000
Ga 0.500 0.500 0.500
P 0.000 0.500 0.000
P 0.500 0.000 0.000
Os 0.000 0.000 0.500

Values from the calculation:
Symmetry: P4/mmm (123)
Calculated formation energy (eV per formula unit): 13.1
Fermi-level density of states (states/eV per cell): 8.34
Size of the total moment (Bohr magnetons per cell): 2.968

***

(3)
The following is a PBE calculation of a geometry-optimized KGaPOs structure, from Alexandria.

Unit cell a=3.922 b=3.922 c=12.851 alpha=90.00 beta=90.00 gamma=90.00
Fractional coordinates of all 8 atoms:
K 0.250 0.250 0.247
K 0.750 0.750 0.753
Ga 0.250 0.750 0.500
Ga 0.750 0.250 0.500
P 0.250 0.250 0.898
P 0.750 0.750 0.102
Os 0.250 0.750 0.000
Os 0.750 0.250 0.000

Values from the calculation:
Symmetry: P4/nmm (129)
Calculated formation energy (eV per formula unit): -0.9
Fermi-level density of states (states/eV per cell): 4.51
Size of the total moment (Bohr magnetons per cell): 0.000

***

no.,final energy (eV for the cell shown)
1,-62.715
2,-13.031
3,-43.422